PBE-GGA KY3N, relaxed; E_form (uncorrected) = -0.096 eV per atom; relative energy among the computed polymorphs = 0.0 kJ/mol of atoms; total magnetization = 0.0 μB per formula unit; ρ = 4.0 Mg/m³
1.0
5.0884 0.0000 0.0000
0.0000 5.0884 0.0000
0.0000 0.0000 5.0884
Y K N
3 1 1
Cartesian
0.0000 2.5442 0.0000
2.5442 0.0000 0.0000
0.0000 0.0000 2.5442
2.5442 2.5442 2.5442
0.0000 0.0000 0.0000